(1)
10
Lattice="5.375 0.000 0.000 2.688 5.559 0.000 2.688 0.000 5.559" Properties=species:S:1:pos:R:3 comment="Ti4Ga5Cu, optimized geometry, DFT PBE" density_g_cm3=6.04 dos_ef_per_ev_cell=8.66 total_energy_ev_per_cell=-52.40 delta_e_f_ev_per_atom=-0.1590 pbc="T T T"
Ti 5.128 2.116 4.115
Ti 7.816 4.115 3.442
Ti 2.441 1.444 2.116
Ti 5.128 3.442 1.444
Ga 7.835 1.885 4.768
Ga 5.147 4.768 3.673
Ga 5.147 0.791 1.885
Ga 2.460 3.673 0.791
Ga 3.478 0.000 0.000
Cu 1.162 0.000 0.000

=====

(2)
15
Lattice="-5.068 0.957 3.652 -0.735 -1.440 -6.110 -0.152 -8.675 2.063" Properties=species:S:1:pos:R:3 comment="Sm3GaSi2Pd9, optimized geometry, DFT PBE" density_g_cm3=8.26 dos_ef_per_ev_cell=6.81 total_energy_ev_per_cell=-84.43 raw_formation_energy_ev_per_atom=-0.64 pbc="T T T"
Sm -2.285 -6.678 -1.420
Sm 0.000 0.000 0.000
Sm -3.670 -2.480 1.026
Ga -0.076 -4.337 1.031
Si -2.206 -2.155 -2.496
Si -3.749 -7.003 2.101
Pd -4.544 -5.599 3.702
Pd -4.957 -6.408 0.269
Pd -1.696 -6.137 1.650
Pd -4.258 -3.021 -2.045
Pd -0.998 -2.750 -0.664
Pd -1.411 -3.559 -4.097
Pd -2.534 0.479 1.826
Pd -0.367 -0.720 -3.055
Pd -2.901 -0.241 -1.229

=====

(3)
5
Lattice="4.944 0.000 0.000 0.000 4.944 0.000 0.000 0.000 4.878" Properties=species:S:1:pos:R:3 comment="ZrTeP2S, optimized geometry, DFT PBE" density_g_cm3=4.36 dos_ef_per_ev_cell=4.83 total_energy_ev_per_cell=-22.44 de_polymorph_ev_per_fu=3.02 raw_formation_energy_ev_per_atom=0.84 pbc="T T T"
P 0.000 2.472 0.000
P 2.472 0.000 0.000
S 0.000 0.000 2.439
Te 0.000 0.000 0.000
Zr 2.472 2.472 2.439

=====

(4)
20
Lattice="-16.901 5.231 -4.533 -2.051 -4.280 2.709 6.398 -0.450 4.134" Properties=species:S:1:pos:R:3 comment="HfBRh3, optimized geometry, DFT PBE" density_g_cm3=11.60 dos_ef_per_ev_cell=8.61 total_energy_ev_per_cell=-166.12 delta_e_f_ev_per_atom=-0.5690 de_polymorph_ev_per_fu=1.08 pbc="T T T"
Rh 0.820 0.688 2.252
Rh -13.374 -0.187 0.057
Rh -0.902 -1.310 3.304
Rh -11.652 1.811 -0.994
Rh -4.124 0.910 0.645
Rh -8.430 -0.408 1.665
Rh -3.020 -2.469 1.655
Rh -9.534 2.970 0.654
Rh -4.103 -1.011 3.813
Rh -8.452 1.512 -1.503
Rh -13.796 3.709 -1.580
Rh 1.242 -3.208 3.890
B 1.174 -1.002 3.528
B -13.728 1.503 -1.218
B -2.624 -2.475 3.836
B -9.930 2.977 -1.526
Hf -5.805 -1.160 1.799
Hf -6.749 1.661 0.511
Hf -1.408 -0.542 0.592
Hf -11.146 1.043 1.717